[1]
Here is HfZn3Br at its PBEsol-relaxed geometry from Alexandria via LeMat-Bulk. Energies are from SCAN.

a = 4.7797 Å, b = 4.7797 Å, c = 4.7797 Å
α = 90.00°, β = 90.00°, γ = 90.00°
Closest atoms and distances in Å follow each position.
Element x y z (fractional)
1 Zn 0.0000 0.5000 0.0000  2 Br 2.39
2 Zn 0.0000 0.0000 0.5000  2 Br 2.39
3 Zn 0.5000 0.0000 0.0000  2 Br 2.39
4 Hf 0.5000 0.5000 0.5000  12 Zn 3.38
5 Br 0.0000 0.0000 0.0000  6 Zn 2.39

Summary:
Formation energy from raw total energies (eV/atom): 1.196
Symmetry: Pm-3m
Magnetization (Bohr magnetons per cell): 0.002

=====

[2]
Here is HgBr5 at its PBEsol-relaxed geometry from Alexandria via LeMat-Bulk. Energies are from SCAN.

a = 3.8080 Å, b = 7.1200 Å, c = 7.6595 Å
α = 104.95°, β = 104.39°, γ = 90.00°
Closest atoms and distances in Å follow each position.
Element x y z (fractional)
1 Hg 0.2066 0.0829 0.4132  5 Br 2.69-2.86
2 Br 0.9367 0.8772 0.8734  1 Br 2.35
3 Br 0.4062 0.1966 0.8124  1 Hg 2.86, 4 Br 3.07-3.09
4 Br 0.6744 0.8057 0.3489  2 Hg 2.69
5 Br 0.6741 0.3240 0.3481  2 Hg 2.69
6 Br 0.9354 0.5468 0.8707  1 Br 2.35

Summary:
Formation energy from raw total energies (eV/atom): -0.046
Symmetry: Cm
Magnetization (Bohr magnetons per cell): 0.002

=====

[3]
Here is HgBr at its PBEsol-relaxed geometry from Alexandria via LeMat-Bulk. Energies are from SCAN.

a = 3.6449 Å, b = 5.5878 Å, c = 5.9124 Å
α = 118.20°, β = 90.00°, γ = 90.00°
Closest atoms and distances in Å follow each position.
Element x y z (fractional)
1 Hg 0.7500 0.3987 0.7975  1 Br 2.58, 2 Hg 2.79
2 Hg 0.2500 0.6013 0.2025  1 Br 2.58, 2 Hg 2.79
3 Br 0.7500 0.1510 0.3021  1 Hg 2.58
4 Br 0.2500 0.8490 0.6979  1 Hg 2.58

Summary:
Formation energy from raw total energies (eV/atom): -0.275
Symmetry: Cmcm
Magnetization (Bohr magnetons per cell): 0.000

=====

[4]
Here is Hg4Br at its PBEsol-relaxed geometry from Alexandria via LeMat-Bulk. Energies are from SCAN.

a = 8.8431 Å, b = 8.8431 Å, c = 8.8431 Å
α = 109.47°, β = 109.47°, γ = 109.47°
Closest atoms and distances in Å follow each position.
Element x y z (fractional)
1 Br 0.0000 0.4689 0.0000  1 Hg 2.81
2 Br 0.5311 0.5311 0.5311  1 Hg 2.81
3 Br 0.0000 0.0000 0.4689  1 Hg 2.81
4 Br 0.4689 0.0000 0.0000  1 Hg 2.81
5 Hg 0.0000 0.7865 0.0000  1 Br 2.81, 6 Hg 2.88-3.08
6 Hg 0.2135 0.2135 0.2135  1 Br 2.81, 6 Hg 2.88-3.08
7 Hg 0.0000 0.0000 0.7865  1 Br 2.81, 6 Hg 2.88-3.08
8 Hg 0.7865 0.0000 0.0000  1 Br 2.81, 6 Hg 2.88-3.08
9 Hg 0.6548 0.6548 0.0000  7 Hg 2.88-3.16
10 Hg 0.3452 0.3452 0.0000  7 Hg 2.88-3.16
11 Hg 0.0000 0.6548 0.6548  7 Hg 2.88-3.16
12 Hg 0.0000 0.3452 0.3452  7 Hg 2.88-3.16
13 Hg 0.3452 0.0000 0.3452  7 Hg 2.88-3.16
14 Hg 0.6548 0.0000 0.6548  7 Hg 2.88-3.16
15 Hg 0.7500 0.2500 0.5000  4 Hg 3.00
16 Hg 0.2500 0.7500 0.5000  4 Hg 3.00
17 Hg 0.5000 0.7500 0.2500  4 Hg 3.00
18 Hg 0.5000 0.2500 0.7500  4 Hg 3.00
19 Hg 0.7500 0.5000 0.2500  4 Hg 3.00
20 Hg 0.2500 0.5000 0.7500  4 Hg 3.00

Summary:
Formation energy from raw total energies (eV/atom): -0.091
Symmetry: I-43m
Magnetization (Bohr magnetons per cell): 0.000

=====

[5]
Here is Hg3Br at its PBEsol-relaxed geometry from Alexandria via LeMat-Bulk. Energies are from SCAN.

a = 3.6791 Å, b = 6.8072 Å, c = 9.3862 Å
α = 111.26°, β = 90.00°, γ = 90.00°
Closest atoms and distances in Å follow each position.
Element x y z (fractional)
1 Br 0.2500 0.5843 0.1686  2 Hg 2.71
2 Br 0.7500 0.4157 0.8314  2 Hg 2.71
3 Hg 0.7500 0.0663 0.1326  6 Hg 2.96-3.17
4 Hg 0.2500 0.9337 0.8674  6 Hg 2.96-3.17
5 Hg 0.7500 0.6019 0.6201  1 Br 2.71, 3 Hg 2.83-2.85
6 Hg 0.2500 0.3981 0.3799  1 Br 2.71, 3 Hg 2.83-2.85
7 Hg 0.7500 0.0182 0.6201  1 Br 2.71, 3 Hg 2.83-2.85
8 Hg 0.2500 0.9818 0.3799  1 Br 2.71, 3 Hg 2.83-2.85

Summary:
Formation energy from raw total energies (eV/atom): -0.106
Symmetry: Cmcm
Magnetization (Bohr magnetons per cell): 0.000

=====

[6]
Here is HgBr3 at its PBEsol-relaxed geometry from Alexandria via LeMat-Bulk. Energies are from SCAN.

a = 3.6012 Å, b = 5.2014 Å, c = 5.2014 Å
α = 90.00°, β = 90.00°, γ = 90.00°
Closest atoms and distances in Å follow each position.
Element x y z (fractional)
1 Hg 0.0000 0.0000 0.0000  8 Br 3.16
2 Br 0.5000 0.0000 0.5000  4 Hg 3.16, 4 Br 3.16
3 Br 0.5000 0.5000 0.0000  4 Br 3.16, 4 Hg 3.16
4 Br 0.0000 0.5000 0.5000  8 Br 3.16

Summary:
Formation energy from raw total energies (eV/atom): 0.330
Symmetry: P4/mmm
Magnetization (Bohr magnetons per cell): 0.001

=====

[7]
Here is HgBr5 at its PBEsol-relaxed geometry from Alexandria via LeMat-Bulk. Energies are from SCAN.

a = 5.3412 Å, b = 5.3412 Å, c = 7.4643 Å
α = 90.00°, β = 90.00°, γ = 120.00°
Closest atoms and distances in Å follow each position.
Element x y z (fractional)
1 Hg 0.0000 0.0000 0.5000  6 Br 3.08
2 Br 0.4233 0.4233 0.0000  4 Br 2.76
3 Br 0.5767 0.0000 0.0000  4 Br 2.76
4 Br 0.0000 0.5767 0.0000  4 Br 2.76
5 Br 0.3333 0.6667 0.5000  3 Hg 3.08, 3 Br 3.08
6 Br 0.6667 0.3333 0.5000  3 Hg 3.08, 3 Br 3.08

Summary:
Formation energy from raw total energies (eV/atom): 0.283
Symmetry: P-62m
Magnetization (Bohr magnetons per cell): 0.396

=====

[8]
Here is Hg8Br at its PBEsol-relaxed geometry from Alexandria via LeMat-Bulk. Energies are from SCAN.

a = 5.4525 Å, b = 6.9882 Å, c = 6.9882 Å
α = 81.25°, β = 67.04°, γ = 67.04°
Closest atoms and distances in Å follow each position.
Element x y z (fractional)
1 Br 0.0000 0.0000 0.0000  4 Hg 3.05
2 Hg 0.3326 0.0000 0.3348  4 Hg 3.03-3.05
3 Hg 0.6674 0.0000 0.6652  4 Hg 3.03-3.05
4 Hg 0.6643 0.3357 0.3357  3 Hg 2.99-3.03, 1 Br 3.05
5 Hg 0.3326 0.3348 0.0000  4 Hg 3.03-3.05
6 Hg 0.0000 0.3357 0.6643  3 Hg 2.99-3.03, 1 Br 3.05
7 Hg 0.6674 0.6652 0.0000  4 Hg 3.03-3.05
8 Hg 0.3357 0.6643 0.6643  3 Hg 2.99-3.03, 1 Br 3.05
9 Hg 0.0000 0.6643 0.3357  3 Hg 2.99-3.03, 1 Br 3.05

Summary:
Formation energy from raw total energies (eV/atom): -0.051
Symmetry: I4/mmm
Magnetization (Bohr magnetons per cell): 0.000

=====

[9]
Here is Hg5Br at its PBEsol-relaxed geometry from Alexandria via LeMat-Bulk. Energies are from SCAN.

a = 3.6480 Å, b = 3.6480 Å, c = 11.0107 Å
α = 90.00°, β = 90.00°, γ = 90.00°
Closest atoms and distances in Å follow each position.
Element x y z (fractional)
1 Hg 0.0000 0.0000 0.8255  4 Hg 3.10, 4 Br 3.22
2 Hg 0.0000 0.0000 0.1745  4 Hg 3.10, 4 Br 3.22
3 Hg 0.5000 0.5000 0.6696  8 Hg 3.10-3.18
4 Hg 0.5000 0.5000 0.3304  8 Hg 3.10-3.18
5 Hg 0.0000 0.0000 0.5000  8 Hg 3.18
6 Br 0.5000 0.5000 0.0000  8 Hg 3.22

Summary:
Formation energy from raw total energies (eV/atom): -0.045
Symmetry: P4/mmm
Magnetization (Bohr magnetons per cell): 0.000

=====

[10]
Here is Hg4Br at its PBEsol-relaxed geometry from Alexandria via LeMat-Bulk. Energies are from SCAN.

a = 6.1043 Å, b = 6.1043 Å, c = 6.1043 Å
α = 109.47°, β = 109.47°, γ = 109.47°
Closest atoms and distances in Å follow each position.
Element x y z (fractional)
1 Br 0.0000 0.0000 0.0000  8 Hg 3.05
2 Hg 0.0000 0.0000 0.5000  2 Br 3.05
3 Hg 0.0000 0.5000 0.0000  2 Br 3.05
4 Hg 0.5000 0.0000 0.0000  2 Br 3.05
5 Hg 0.5000 0.5000 0.5000  2 Br 3.05

Summary:
Formation energy from raw total energies (eV/atom): 0.245
Symmetry: Im-3m
Magnetization (Bohr magnetons per cell): 0.000

=====

[11]
Here is HgBr3 at its PBEsol-relaxed geometry from Alexandria via LeMat-Bulk. Energies are from SCAN.

a = 3.9689 Å, b = 4.0578 Å, c = 8.1555 Å
α = 90.00°, β = 90.00°, γ = 119.28°
Closest atoms and distances in Å follow each position.
Element x y z (fractional)
1 Hg 0.5000 0.0000 0.5000  4 Br 2.71
2 Br 0.0000 0.0000 0.7256  2 Hg 2.71, 2 Br 2.99
3 Br 0.5000 0.0000 0.0000  4 Br 2.99
4 Br 0.0000 0.0000 0.2744  2 Hg 2.71, 2 Br 2.99

Summary:
Formation energy from raw total energies (eV/atom): -0.008
Symmetry: Cmmm
Magnetization (Bohr magnetons per cell): 0.000

=====

[12]
Here is HgBr3 at its PBEsol-relaxed geometry from Alexandria via LeMat-Bulk. Energies are from SCAN.

a = 3.8939 Å, b = 5.5043 Å, c = 5.5043 Å
α = 101.21°, β = 90.00°, γ = 90.00°
Closest atoms and distances in Å follow each position.
Element x y z (fractional)
1 Hg 0.5000 0.5000 0.5000  4 Br 2.67
2 Br 0.0000 0.7143 0.2857  2 Hg 2.67
3 Br 0.5000 0.0000 0.0000  4 Br 3.11
4 Br 0.0000 0.2857 0.7143  2 Hg 2.67

Summary:
Formation energy from raw total energies (eV/atom): -0.075
Symmetry: Cmmm
Magnetization (Bohr magnetons per cell): 0.000

=====

Copy entry 3 word for word.
Here is HgBr at its PBEsol-relaxed geometry from Alexandria via LeMat-Bulk. Energies are from SCAN.

a = 3.6449 Å, b = 5.5878 Å, c = 5.9124 Å
α = 118.20°, β = 90.00°, γ = 90.00°
Closest atoms and distances in Å follow each position.
Element x y z (fractional)
1 Hg 0.7500 0.3987 0.7975  1 Br 2.58, 2 Hg 2.79
2 Hg 0.2500 0.6013 0.2025  1 Br 2.58, 2 Hg 2.79
3 Br 0.7500 0.1510 0.3021  1 Hg 2.58
4 Br 0.2500 0.8490 0.6979  1 Hg 2.58

Summary:
Formation energy from raw total energies (eV/atom): -0.275
Symmetry: Cmcm
Magnetization (Bohr magnetons per cell): 0.000

=====

Look up the formation energy from raw total energies of the eighth one.
-0.051 eV/atom

=====

What did the fourth record say?
Here is Hg4Br at its PBEsol-relaxed geometry from Alexandria via LeMat-Bulk. Energies are from SCAN.

a = 8.8431 Å, b = 8.8431 Å, c = 8.8431 Å
α = 109.47°, β = 109.47°, γ = 109.47°
Closest atoms and distances in Å follow each position.
Element x y z (fractional)
1 Br 0.0000 0.4689 0.0000  1 Hg 2.81
2 Br 0.5311 0.5311 0.5311  1 Hg 2.81
3 Br 0.0000 0.0000 0.4689  1 Hg 2.81
4 Br 0.4689 0.0000 0.0000  1 Hg 2.81
5 Hg 0.0000 0.7865 0.0000  1 Br 2.81, 6 Hg 2.88-3.08
6 Hg 0.2135 0.2135 0.2135  1 Br 2.81, 6 Hg 2.88-3.08
7 Hg 0.0000 0.0000 0.7865  1 Br 2.81, 6 Hg 2.88-3.08
8 Hg 0.7865 0.0000 0.0000  1 Br 2.81, 6 Hg 2.88-3.08
9 Hg 0.6548 0.6548 0.0000  7 Hg 2.88-3.16
10 Hg 0.3452 0.3452 0.0000  7 Hg 2.88-3.16
11 Hg 0.0000 0.6548 0.6548  7 Hg 2.88-3.16
12 Hg 0.0000 0.3452 0.3452  7 Hg 2.88-3.16
13 Hg 0.3452 0.0000 0.3452  7 Hg 2.88-3.16
14 Hg 0.6548 0.0000 0.6548  7 Hg 2.88-3.16
15 Hg 0.7500 0.2500 0.5000  4 Hg 3.00
16 Hg 0.2500 0.7500 0.5000  4 Hg 3.00
17 Hg 0.5000 0.7500 0.2500  4 Hg 3.00
18 Hg 0.5000 0.2500 0.7500  4 Hg 3.00
19 Hg 0.7500 0.5000 0.2500  4 Hg 3.00
20 Hg 0.2500 0.5000 0.7500  4 Hg 3.00

Summary:
Formation energy from raw total energies (eV/atom): -0.091
Symmetry: I-43m
Magnetization (Bohr magnetons per cell): 0.000

=====

Please write out number 3 again, unchanged.
Here is HgBr at its PBEsol-relaxed geometry from Alexandria via LeMat-Bulk. Energies are from SCAN.

a = 3.6449 Å, b = 5.5878 Å, c = 5.9124 Å
α = 118.20°, β = 90.00°, γ = 90.00°
Closest atoms and distances in Å follow each position.
Element x y z (fractional)
1 Hg 0.7500 0.3987 0.7975  1 Br 2.58, 2 Hg 2.79
2 Hg 0.2500 0.6013 0.2025  1 Br 2.58, 2 Hg 2.79
3 Br 0.7500 0.1510 0.3021  1 Hg 2.58
4 Br 0.2500 0.8490 0.6979  1 Hg 2.58

Summary:
Formation energy from raw total energies (eV/atom): -0.275
Symmetry: Cmcm
Magnetization (Bohr magnetons per cell): 0.000